Entry a
Below is an optimized crystal structure of DyHoCu, with properties calculated at the PBE level.

Structure (POSCAR):
```
DyHoCu
1.0
2.5543 0.6613 3.9831
2.2997 4.1281 0.7054
-1.5346 3.0484 3.3435
Ho Dy Cu
1 1 1
Cartesian
2.4895 5.8784 6.0240
0.0000 0.0000 0.0000
0.8298 1.9594 2.0080
```

Computed properties:
The value obtained for the magnetization is 0.002 μB per cell.

---

Entry b
Below is an optimized crystal structure of DyHoCu, with properties calculated at the PBE level.

Structure (POSCAR):
```
DyHoCu
1.0
-2.7377 -3.9450 -2.3470
3.1059 -1.0465 4.2219
-2.3447 0.5238 1.8547
Dy Cu Ho
1 1 1
Cartesian
-0.7899 -2.9788 -0.1573
0.0000 0.0000 0.0000
1.1580 -2.0127 2.0323
```

Computed properties:
The value obtained for the magnetization is 0.152 μB per cell.

---

So which one wins? Going from most stable to least: entry b, entry a.

---

Entry a
Below is an optimized crystal structure of DyHo2Cu4Si2Sn2, with properties calculated at the PBE level.

Structure (POSCAR):
```
DyHo2Cu4Si2Sn2
1.0
-2.1099 3.4316 7.0938
2.1099 -3.4316 7.0938
2.1099 3.4316 -7.0938
Cu Sn Dy Si Ho
4 2 1 2 2
Cartesian
0.0000 2.1350 9.6611
0.0000 2.1350 4.5264
2.1099 1.2967 2.5674
2.1099 1.2967 -2.5674
2.1099 2.0440 0.0000
0.0000 1.3877 7.0938
0.0000 0.0000 0.0000
0.0000 0.0000 3.0690
0.0000 0.0000 11.1186
2.1099 0.0000 5.1731
0.0000 3.4316 1.9207
```

Computed properties:
The value obtained for the magnetization is 0.001 μB per cell.

---

Entry b
Below is an optimized crystal structure of DyHo2Cu4Si2Sn2, with properties calculated at the PBE level.

Structure (POSCAR):
```
DyHo2Cu4Si2Sn2
1.0
-2.1541 3.3112 7.1786
2.1541 -3.3112 7.1786
2.1541 3.3112 -7.1786
Cu Dy Ho Si Sn
4 1 2 2 2
Cartesian
2.1541 1.2610 -2.1998
0.0000 2.0502 4.9788
0.0000 2.0502 9.3784
2.1541 1.2610 2.1998
0.0000 0.0000 0.0000
2.1541 0.0000 5.4037
0.0000 3.3112 1.7749
2.1541 2.1094 0.0000
0.0000 1.2017 7.1786
0.0000 0.0000 3.1360
0.0000 0.0000 11.2211
```

Computed properties:
The value obtained for the magnetization is 0.003 μB per cell.

---

So which one wins? Going from most stable to least: entry b, entry a.